No. 1
La8Ir3CI3: optimized geometry, PBE-GGA.

Structure (POSCAR):
```
La8Ir3CI3
1.0
7.273 -4.193 0.000
7.273 4.193 0.000
-4.841 0.000 8.254
La Ir C I
8 3 1 3
direct
0.216 0.216 0.675
0.216 0.743 0.675
0.257 0.784 0.325
0.271 0.271 0.312
0.729 0.729 0.688
0.743 0.216 0.675
0.784 0.257 0.325
0.784 0.784 0.325
0.000 0.500 0.500
0.500 0.000 0.500
0.500 0.500 0.500
0.000 0.000 0.500
0.000 0.000 0.000
0.000 0.500 0.000
0.500 0.000 0.000
```

Summary:
- DOS(E_F) (states/eV per cell) = 12.3
- formation energy without anion corrections (eV/atom) = -0.828
- final energy (eV per atom) = -6.1531
- crystal system = monoclinic
- size of the total moment (μB/atom) = 0.034

No. 2
IrCI2N: optimized geometry, PBE-GGA.

Structure (POSCAR):
```
IrCI2N
1.0
5.581 0.000 0.000
0.000 5.581 0.000
0.000 0.000 3.698
Ir C I N
1 1 2 1
direct
0.000 0.000 0.000
0.500 0.500 0.500
0.000 0.500 0.000
0.500 0.000 0.000
0.000 0.000 0.500
```

Summary:
- DOS(E_F) (states/eV per cell) = 3.5
- formation energy without anion corrections (eV/atom) = 1.699
- final energy (eV per atom) = -4.2027
- crystal system = tetragonal
- size of the total moment (μB/atom) = 0.244

No. 3
IrCIN2: optimized geometry, PBE-GGA.

Structure (POSCAR):
```
IrCIN2
1.0
3.751 0.000 0.000
0.000 3.751 0.000
0.000 0.000 4.358
Ir C I N
1 1 1 2
direct
0.000 0.000 0.000
0.500 0.500 0.500
0.500 0.500 0.000
0.000 0.500 0.500
0.500 0.000 0.500
```

Summary:
- DOS(E_F) (states/eV per cell) = 3.8
- formation energy without anion corrections (eV/atom) = 2.807
- final energy (eV per atom) = -4.4500
- crystal system = tetragonal
- size of the total moment (μB/atom) = 0.079

No. 4
IrCI2N: optimized geometry, PBE-GGA.

Structure (POSCAR):
```
IrCI2N
1.0
5.662 0.000 0.000
0.000 5.662 0.000
0.000 0.000 3.799
Ir C I N
1 1 2 1
direct
0.000 0.000 0.000
0.000 0.000 0.500
0.000 0.500 0.000
0.500 0.000 0.000
0.500 0.500 0.500
```

Summary:
- DOS(E_F) (states/eV per cell) = 3.3
- formation energy without anion corrections (eV/atom) = 1.654
- final energy (eV per atom) = -4.2483
- crystal system = tetragonal
- size of the total moment (μB/atom) = 0.557

No. 5
IrCIN2: optimized geometry, PBE-GGA.

Structure (POSCAR):
```
IrCIN2
1.0
3.693 0.000 0.000
0.000 3.693 0.000
0.000 0.000 8.830
Ir C I N
1 1 1 2
direct
0.000 0.000 0.000
0.500 0.500 0.500
0.000 0.000 0.500
0.000 0.500 0.000
0.500 0.000 0.000
```

Summary:
- DOS(E_F) (states/eV per cell) = 2.6
- formation energy without anion corrections (eV/atom) = 1.800
- final energy (eV per atom) = -5.4574
- crystal system = tetragonal
- size of the total moment (μB/atom) = 0.232

No. 6
IrCI2N: optimized geometry, PBE-GGA.

Structure (POSCAR):
```
IrCI2N
1.0
6.201 0.000 0.000
0.000 6.201 0.000
0.000 0.000 2.643
Ir C I N
1 1 2 1
direct
0.000 0.000 0.000
0.500 0.500 0.500
0.000 0.500 0.500
0.500 0.000 0.500
0.500 0.500 0.000
```

Summary:
- DOS(E_F) (states/eV per cell) = 5.2
- formation energy without anion corrections (eV/atom) = 1.556
- final energy (eV per atom) = -4.3464
- crystal system = tetragonal
- size of the total moment (μB/atom) = 0.000

No. 7
Nd8Ir3CI4: optimized geometry, PBE-GGA.

Structure (POSCAR):
```
Nd8Ir3CI4
1.0
4.160 2.402 8.061
-4.160 2.402 8.061
0.000 -4.803 8.061
Nd Ir C I
8 3 1 4
direct
0.230 0.230 0.230
0.242 0.717 0.717
0.283 0.283 0.758
0.283 0.758 0.283
0.717 0.242 0.717
0.717 0.717 0.242
0.758 0.283 0.283
0.770 0.770 0.770
0.000 0.000 0.500
0.000 0.500 0.000
0.500 0.000 0.000
0.500 0.500 0.500
0.000 0.000 0.000
0.000 0.500 0.500
0.500 0.000 0.500
0.500 0.500 0.000
```

Summary:
- DOS(E_F) (states/eV per cell) = 9.2
- formation energy without anion corrections (eV/atom) = -0.844
- final energy (eV per atom) = -5.8534
- crystal system = trigonal
- size of the total moment (μB/atom) = 0.000

No. 8
Nd6Ir2CI3: optimized geometry, PBE-GGA.

Structure (POSCAR):
```
Nd6Ir2CI3
1.0
3.589 -6.209 0.000
3.589 6.209 0.000
-2.372 0.000 7.995
Nd Ir C I
6 2 1 3
direct
0.058 0.371 0.177
0.255 0.255 0.822
0.371 0.058 0.177
0.629 0.942 0.823
0.745 0.745 0.178
0.942 0.629 0.823
0.333 0.667 0.000
0.667 0.333 0.000
0.000 0.000 0.000
0.167 0.833 0.500
0.500 0.500 0.500
0.833 0.167 0.500
```

Summary:
- DOS(E_F) (states/eV per cell) = 10.3
- formation energy without anion corrections (eV/atom) = -0.822
- final energy (eV per atom) = -5.8391
- crystal system = monoclinic
- size of the total moment (μB/atom) = 0.000

No. 9
IrCI2O: optimized geometry, PBE-GGA.

Structure (POSCAR):
```
IrCI2O
1.0
5.188 0.000 0.000
0.000 5.188 0.000
0.000 0.000 3.136
Ir C I O
1 1 2 1
direct
0.000 0.000 0.000
0.500 0.500 0.500
0.000 0.500 0.500
0.500 0.000 0.500
0.500 0.500 0.000
```

Summary:
- DOS(E_F) (states/eV per cell) = 2.6
- formation energy without anion corrections (eV/atom) = 1.395
- final energy (eV per atom) = -3.8338
- crystal system = tetragonal
- size of the total moment (μB/atom) = 0.000

No. 10
IrCI2O: optimized geometry, PBE-GGA.

Structure (POSCAR):
```
IrCI2O
1.0
5.552 0.000 0.000
0.000 5.552 0.000
0.000 0.000 3.732
Ir C I O
1 1 2 1
direct
0.000 0.000 0.000
0.500 0.500 0.500
0.000 0.500 0.000
0.500 0.000 0.000
0.000 0.000 0.500
```

Summary:
- DOS(E_F) (states/eV per cell) = 4.1
- formation energy without anion corrections (eV/atom) = 1.309
- final energy (eV per atom) = -3.9196
- crystal system = tetragonal
- size of the total moment (μB/atom) = 0.246

No. 11
IrOsCI2: optimized geometry, PBE-GGA.

Structure (POSCAR):
```
IrOsCI2
1.0
5.389 0.000 0.000
0.000 5.389 0.000
0.000 0.000 3.750
Ir Os C I
1 1 1 2
direct
0.000 0.000 0.000
0.500 0.500 0.500
0.500 0.500 0.000
0.000 0.500 0.500
0.500 0.000 0.500
```

Summary:
- DOS(E_F) (states/eV per cell) = 4.6
- formation energy without anion corrections (eV/atom) = 1.597
- final energy (eV per atom) = -4.8856
- crystal system = tetragonal
- size of the total moment (μB/atom) = 0.054

No. 12
IrOs2CI: optimized geometry, PBE-GGA.

Structure (POSCAR):
```
IrOs2CI
1.0
4.811 0.000 0.000
0.000 4.811 0.000
0.000 0.000 4.830
Ir Os C I
1 2 1 1
direct
0.000 0.000 0.000
0.000 0.500 0.500
0.500 0.000 0.500
0.500 0.500 0.000
0.000 0.000 0.500
```

Summary:
- DOS(E_F) (states/eV per cell) = 8.2
- formation energy without anion corrections (eV/atom) = 3.933
- final energy (eV per atom) = -4.4861
- crystal system = tetragonal
- size of the total moment (μB/atom) = 0.000

No. 13
IrPbCI2: optimized geometry, PBE-GGA.

Structure (POSCAR):
```
IrPbCI2
1.0
6.161 0.000 0.000
0.000 6.161 0.000
0.000 0.000 4.380
Ir Pb C I
1 1 1 2
direct
0.000 0.000 0.000
0.500 0.500 0.500
0.500 0.500 0.000
0.000 0.500 0.500
0.500 0.000 0.500
```

Summary:
- DOS(E_F) (states/eV per cell) = 8.4
- formation energy without anion corrections (eV/atom) = 2.157
- final energy (eV per atom) = -2.8214
- crystal system = tetragonal
- size of the total moment (μB/atom) = 0.856

No. 14
Pm6Ir2CI3: optimized geometry, PBE-GGA.

Structure (POSCAR):
```
Pm6Ir2CI3
1.0
3.567 -6.172 0.000
3.567 6.172 0.000
-2.356 0.000 7.935
Pm Ir C I
6 2 1 3
direct
0.058 0.370 0.177
0.255 0.255 0.823
0.370 0.058 0.177
0.630 0.942 0.823
0.745 0.745 0.177
0.942 0.630 0.823
0.333 0.667 0.000
0.667 0.333 0.000
0.000 0.000 0.000
0.166 0.834 0.500
0.500 0.500 0.500
0.834 0.166 0.500
```

Summary:
- DOS(E_F) (states/eV per cell) = 9.9
- formation energy without anion corrections (eV/atom) = -0.835
- final energy (eV per atom) = -5.8435
- crystal system = monoclinic
- size of the total moment (μB/atom) = 0.000

No. 15
Pr6Ir2CI3: optimized geometry, PBE-GGA.

Structure (POSCAR):
```
Pr6Ir2CI3
1.0
3.614 -6.250 0.000
3.614 6.250 0.000
-2.392 0.000 8.059
Pr Ir C I
6 2 1 3
direct
0.058 0.371 0.178
0.255 0.255 0.821
0.371 0.058 0.178
0.629 0.942 0.822
0.745 0.745 0.179
0.942 0.629 0.822
0.333 0.667 0.000
0.667 0.333 0.000
0.000 0.000 0.000
0.167 0.833 0.500
0.500 0.500 0.500
0.833 0.167 0.500
```

Summary:
- DOS(E_F) (states/eV per cell) = 10.6
- formation energy without anion corrections (eV/atom) = -0.811
- final energy (eV per atom) = -5.8339
- crystal system = monoclinic
- size of the total moment (μB/atom) = 0.000

No. 16
Pr4IrCI2: optimized geometry, PBE-GGA.

Structure (POSCAR):
```
Pr4IrCI2
1.0
7.269 0.000 0.000
0.000 4.063 0.000
-2.301 0.000 7.968
Pr Ir C I
4 1 1 2
direct
0.210 0.000 0.173
0.251 0.500 0.820
0.749 0.500 0.180
0.790 0.000 0.827
0.500 0.000 0.000
0.000 0.500 0.000
0.000 0.000 0.500
0.500 0.500 0.500
```

Summary:
- DOS(E_F) (states/eV per cell) = 6.2
- formation energy without anion corrections (eV/atom) = -0.734
- final energy (eV per atom) = -5.7718
- crystal system = monoclinic
- size of the total moment (μB/atom) = 0.000

No. 17
Rb2IrCI6: optimized geometry, PBE-GGA.

Structure (POSCAR):
```
Rb2IrCI6
1.0
-3.779 3.779 6.341
3.779 -3.779 6.341
3.779 3.779 -6.341
Rb Ir C I
2 1 1 6
direct
0.250 0.750 0.500
0.750 0.250 0.500
0.000 0.000 0.000
0.500 0.500 0.000
0.213 0.213 0.000
0.257 0.257 0.515
0.257 0.743 0.000
0.743 0.257 0.000
0.743 0.743 0.485
0.787 0.787 0.000
```

Summary:
- DOS(E_F) (states/eV per cell) = 13.1
- formation energy without anion corrections (eV/atom) = -0.002
- final energy (eV per atom) = -2.9345
- crystal system = tetragonal
- size of the total moment (μB/atom) = 0.156

No. 18
ReIrCI2: optimized geometry, PBE-GGA.

Structure (POSCAR):
```
ReIrCI2
1.0
4.900 0.000 0.000
0.000 4.900 0.000
0.000 0.000 3.963
Re Ir C I
1 1 1 2
direct
0.000 0.000 0.000
0.500 0.500 0.000
0.000 0.000 0.500
0.000 0.500 0.500
0.500 0.000 0.500
```

Summary:
- DOS(E_F) (states/eV per cell) = 6.5
- formation energy without anion corrections (eV/atom) = 1.952
- final energy (eV per atom) = -4.7751
- crystal system = tetragonal
- size of the total moment (μB/atom) = 0.000

No. 19
IrCS2I: optimized geometry, PBE-GGA.

Structure (POSCAR):
```
IrCS2I
1.0
4.698 0.000 0.000
0.000 4.698 0.000
0.000 0.000 3.948
Ir C S I
1 1 2 1
direct
0.000 0.000 0.000
0.000 0.000 0.500
0.000 0.500 0.500
0.500 0.000 0.500
0.500 0.500 0.000
```

Summary:
- DOS(E_F) (states/eV per cell) = 5.6
- formation energy without anion corrections (eV/atom) = 1.489
- final energy (eV per atom) = -4.0894
- crystal system = tetragonal
- size of the total moment (μB/atom) = 0.000

No. 20
Ir2CSI: optimized geometry, PBE-GGA.

Structure (POSCAR):
```
Ir2CSI
1.0
4.771 0.000 0.000
0.000 4.771 0.000
0.000 0.000 3.564
Ir C S I
2 1 1 1
direct
0.000 0.500 0.000
0.500 0.000 0.000
0.000 0.000 0.500
0.000 0.000 0.000
0.500 0.500 0.500
```

Summary:
- DOS(E_F) (states/eV per cell) = 3.2
- formation energy without anion corrections (eV/atom) = 1.672
- final energy (eV per atom) = -4.8522
- crystal system = tetragonal
- size of the total moment (μB/atom) = 0.000

No. 21
Sb2IrCI: optimized geometry, PBE-GGA.

Structure (POSCAR):
```
Sb2IrCI
1.0
4.610 0.000 0.000
0.000 4.610 0.000
0.000 0.000 4.767
Sb Ir C I
2 1 1 1
direct
0.000 0.500 0.000
0.500 0.000 0.000
0.000 0.000 0.500
0.500 0.500 0.000
0.500 0.500 0.500
```

Summary:
- DOS(E_F) (states/eV per cell) = 1.8
- formation energy without anion corrections (eV/atom) = 1.416
- final energy (eV per atom) = -4.1600
- crystal system = tetragonal
- size of the total moment (μB/atom) = 0.000

No. 22
Sb2IrCI: optimized geometry, PBE-GGA.

Structure (POSCAR):
```
Sb2IrCI
1.0
5.094 0.000 0.000
0.000 5.094 0.000
0.000 0.000 5.726
Sb Ir C I
2 1 1 1
direct
0.000 0.500 0.000
0.500 0.000 0.000
0.000 0.000 0.000
0.500 0.500 0.500
0.000 0.000 0.500
```

Summary:
- DOS(E_F) (states/eV per cell) = 5.7
- formation energy without anion corrections (eV/atom) = 1.742
- final energy (eV per atom) = -3.8336
- crystal system = tetragonal
- size of the total moment (μB/atom) = 0.322

No. 23
SbIrCI2: optimized geometry, PBE-GGA.

Structure (POSCAR):
```
SbIrCI2
1.0
4.829 0.000 0.000
0.000 4.829 0.000
0.000 0.000 4.637
Sb Ir C I
1 1 1 2
direct
0.000 0.000 0.000
0.500 0.500 0.000
0.000 0.000 0.500
0.000 0.500 0.500
0.500 0.000 0.500
```

Summary:
- DOS(E_F) (states/eV per cell) = 5.9
- formation energy without anion corrections (eV/atom) = 1.747
- final energy (eV per atom) = -3.3148
- crystal system = tetragonal
- size of the total moment (μB/atom) = 0.025

No. 24
SbIrCI2: optimized geometry, PBE-GGA.

Structure (POSCAR):
```
SbIrCI2
1.0
5.599 0.000 0.000
0.000 5.599 0.000
0.000 0.000 4.977
Sb Ir C I
1 1 1 2
direct
0.000 0.000 0.000
0.000 0.000 0.500
0.500 0.500 0.000
0.000 0.500 0.500
0.500 0.000 0.500
```

Summary:
- DOS(E_F) (states/eV per cell) = 5.9
- formation energy without anion corrections (eV/atom) = 1.741
- final energy (eV per atom) = -3.3206
- crystal system = tetragonal
- size of the total moment (μB/atom) = 0.300

No. 25
Sm8Ir3CI3: optimized geometry, PBE-GGA.

Structure (POSCAR):
```
Sm8Ir3CI3
1.0
7.121 -4.111 0.000
7.121 4.111 0.000
-4.739 0.000 8.001
Sm Ir C I
8 3 1 3
direct
0.214 0.214 0.671
0.214 0.744 0.671
0.256 0.786 0.329
0.271 0.271 0.314
0.729 0.729 0.686
0.744 0.214 0.671
0.786 0.256 0.329
0.786 0.786 0.329
0.000 0.500 0.500
0.500 0.000 0.500
0.500 0.500 0.500
0.000 0.000 0.500
0.000 0.000 0.000
0.000 0.500 0.000
0.500 0.000 0.000
```

Summary:
- DOS(E_F) (states/eV per cell) = 9.0
- formation energy without anion corrections (eV/atom) = -0.734
- final energy (eV per atom) = -5.9483
- crystal system = monoclinic
- size of the total moment (μB/atom) = 0.000